No. 1
The following is a DFT calculation (meta-GGA SCAN) of a PBEsol-optimized structure of Li4AuSe.

Lattice parameters (Å, degrees): 5.0861 5.0861 5.0861 60.00 60.00 60.00
Closest atoms and distances in Å follow each position.
Sites, in units of the cell vectors:
1 Au 0.0000 0.0000 0.0000  12 Li 2.98, 4 Se 3.11
2 Li 0.3748 0.3748 0.3748  6 Li 2.54-2.55
3 Li 0.3748 0.3748 0.8757  6 Li 2.54-2.55
4 Li 0.8757 0.3748 0.3748  6 Li 2.54-2.55
5 Li 0.3748 0.8757 0.3748  6 Li 2.54-2.55
6 Se 0.7500 0.7500 0.7500  12 Li 2.98, 4 Au 3.11

Output
Energy relative to the elements, uncorrected   -298 meV per atom
E_tot   -100.6 eV per cell
Fermi-level density of states   1.04 states/eV per cell
Symmetry   F-43m, No. 216


No. 2
The following is a DFT calculation (meta-GGA SCAN) of a PBEsol-optimized structure of LiSiAu2.

Lattice parameters (Å, degrees): 3.4334 4.1573 4.1573 90.00 90.00 90.00
Closest atoms and distances in Å follow each position.
Sites, in units of the cell vectors:
1 Si 0.5000 0.0000 0.0000  8 Au 2.70, 4 Li 2.94
2 Au 0.0000 0.0000 0.5000  4 Li 2.70, 4 Si 2.70, 4 Au 2.94
3 Au 0.0000 0.5000 0.0000  4 Li 2.70, 4 Si 2.70, 4 Au 2.94
4 Li 0.5000 0.5000 0.5000  8 Au 2.70, 4 Si 2.94

Output
Energy relative to the elements, uncorrected   -333 meV per atom
E_tot   -152.1 eV per cell
Fermi-level density of states   1.14 states/eV per cell
Symmetry   P4/mmm, No. 123


No. 3
The following is a DFT calculation (meta-GGA SCAN) of a PBEsol-optimized structure of LiSiAu2.

Lattice parameters (Å, degrees): 3.4011 3.4011 5.2303 90.00 90.00 90.00
Closest atoms and distances in Å follow each position.
Sites, in units of the cell vectors:
1 Si 0.5000 0.5000 0.7719  6 Au 2.54-2.69, 4 Li 2.85
2 Au 0.0000 0.0000 0.9617  2 Li 2.52-2.72, 4 Si 2.60
3 Au 0.5000 0.5000 0.2856  2 Si 2.54-2.69, 4 Li 2.61
4 Li 0.0000 0.0000 0.4808  6 Au 2.52-2.72

Output
Energy relative to the elements, uncorrected   -327 meV per atom
E_tot   -152.0 eV per cell
Fermi-level density of states   0.97 states/eV per cell
Symmetry   P4mm, No. 99


No. 4
The following is a DFT calculation (meta-GGA SCAN) of a PBEsol-optimized structure of LiSiAu2.

Lattice parameters (Å, degrees): 2.8617 4.3069 5.2394 90.00 106.07 90.00
Closest atoms and distances in Å follow each position.
Sites, in units of the cell vectors:
1 Si 0.6871 0.5000 0.7483  3 Au 2.45
2 Au 0.8014 0.0000 0.9788  2 Si 2.45, 1 Li 2.68
3 Au 0.4441 0.5000 0.2611  1 Si 2.45
4 Li 0.0674 0.0000 0.5119  7 Au 2.68-2.88, 4 Si 2.85, 2 Li 2.86

Output
Energy relative to the elements, uncorrected   -307 meV per atom
E_tot   -151.9 eV per cell
Fermi-level density of states   1.16 states/eV per cell
Symmetry   Pm, No. 6


No. 5
The following is a DFT calculation (meta-GGA SCAN) of a PBEsol-optimized structure of LiSiAu.

Lattice parameters (Å, degrees): 4.1927 5.2612 5.2612 74.21 66.52 66.52
Closest atoms and distances in Å follow each position.
Sites, in units of the cell vectors:
1 Si 0.1029 0.2080 0.5862  1 Si 2.40, 3 Au 2.44-2.45
2 Si 0.1029 0.5862 0.2080  1 Si 2.40, 3 Au 2.44-2.45
3 Au 0.7742 0.9927 0.4588  3 Si 2.44-2.45
4 Au 0.7742 0.4588 0.9927  3 Si 2.44-2.45
5 Li 0.3957 0.6043 0.6043  6 Au 2.84-3.12, 6 Si 2.85-2.90
6 Li 0.4696 0.0304 0.0304  6 Au 2.79-2.93, 6 Si 2.92-3.04

Output
Energy relative to the elements, uncorrected   -488 meV per atom
E_tot   -166.1 eV per cell
Fermi-level density of states   1.61 states/eV per cell
Symmetry   Imm2, No. 44


No. 6
The following is a DFT calculation (meta-GGA SCAN) of a PBEsol-optimized structure of LiSiAu.

Lattice parameters (Å, degrees): 3.9997 3.9997 3.9997 60.00 60.00 60.00
Closest atoms and distances in Å follow each position.
Sites, in units of the cell vectors:
1 Si 0.0000 0.0000 0.0000  4 Li 2.45
2 Au 0.5000 0.5000 0.5000  4 Li 2.45
3 Li 0.7500 0.7500 0.7500  4 Si 2.45, 4 Au 2.45

Output
Energy relative to the elements, uncorrected   0 meV per atom
E_tot   -81.6 eV per cell
Fermi-level density of states   1.23 states/eV per cell
Symmetry   F-43m, No. 216


Question: Which of these has the lowest E_tot?
Answer: number 5